No. 1
NdSm2Y5Tm, relaxed, DFT PBE; formation energy from the elements = 0.26 eV per atom; E = -97.40 eV/cell
1.0
-4.3049 4.3049 7.9032
4.3049 -4.3049 7.9032
4.3049 4.3049 -7.9032
Nd Sm Y Tm
2 4 10 2
Cartesian
4.3049 0.0000 3.9516
0.0000 4.3049 3.9516
5.3258 1.0209 0.0000
1.0209 3.2839 0.0000
3.2839 1.0209 7.9032
-1.0209 3.2839 7.9032
0.0000 0.0000 0.0000
2.5240 1.7809 -2.1866
2.5240 -1.7809 5.7166
2.5240 1.7809 2.1866
2.5240 -1.7809 10.0898
0.0000 0.0000 7.9032
1.7809 6.0858 -2.1866
1.7809 2.5240 5.7166
1.7809 6.0858 2.1866
1.7809 2.5240 10.0898
0.0000 0.0000 3.9516
0.0000 0.0000 11.8548

No. 2
NdSm2Y6Tm2, relaxed, DFT PBE; formation energy from the elements = 0.15 eV per atom; E = -60.25 eV/cell
1.0
2.8448 -6.0130 0.0000
2.8448 6.0130 0.0000
-0.0156 0.0000 10.6791
Nd Sm Y Tm
1 2 6 2
Cartesian
0.0000 0.0000 0.0000
2.8370 1.6350 5.3396
2.8370 -1.6350 5.3396
2.8360 4.1528 3.0742
2.8379 4.1528 7.6049
2.8370 0.0000 2.2571
2.8369 0.0000 8.4221
2.8360 -4.1528 3.0742
2.8379 -4.1528 7.6049
2.8448 2.4157 0.0000
2.8448 -2.4157 0.0000

No. 3
NdSmYTm, relaxed, DFT PBE; ΔE to the lowest computed polymorph = 17 meV/atom; formation energy from the elements = 0.12 eV per atom; E = -19.92 eV/cell
1.0
-1.8597 2.9660 5.9783
1.8597 -2.9660 5.9783
1.8597 2.9660 -5.9783
Nd Sm Y Tm
1 1 1 1
Cartesian
0.0000 0.0000 0.0000
0.0000 0.0000 5.7589
0.0000 2.9660 2.8508
1.8597 0.0000 2.8963

No. 4
NdSm2Y6Tm3, relaxed, DFT PBE; formation energy from the elements = 0.02 eV per atom; E = -66.13 eV/cell
1.0
3.0943 -5.3548 0.0000
3.0943 5.3548 0.0000
-2.0569 0.0000 11.6354
Nd Sm Y Tm
1 2 6 3
Cartesian
0.0000 0.0000 0.0000
3.0943 1.7834 0.0000
3.0943 -1.7834 0.0000
1.0358 1.7863 2.9541
0.0040 0.0000 8.6795
1.0358 -1.7863 2.9541
3.0958 1.7863 8.6812
4.1276 0.0000 2.9559
3.0958 -1.7863 8.6812
2.0658 3.5680 5.8177
2.0658 0.0000 5.8177
2.0658 -3.5680 5.8177

No. 5
NdSm2Y6Tm, relaxed, DFT PBE; formation energy from the elements = 0.11 eV per atom; E = -112.67 eV/cell
1.0
4.5609 -7.5331 0.0000
4.5609 7.5331 0.0000
-1.4782 0.0000 9.6055
Nd Sm Y Tm
2 4 12 2
Cartesian
3.4522 7.2231 7.2041
4.1913 -7.2231 2.4014
1.4466 0.7581 5.2439
2.1858 -0.7581 0.4411
5.4578 0.7581 9.1644
6.1969 -0.7581 4.3616
1.6589 4.1744 6.5813
3.8746 4.6936 0.5493
4.5081 4.6936 4.2535
2.3577 1.5991 8.4778
5.2456 4.1744 7.8269
4.5467 1.5991 5.9304
3.0968 -1.5991 3.6751
2.3980 -4.1744 1.7786
5.2859 -1.5991 1.1277
3.1354 -4.6936 5.3520
3.7690 -4.6936 9.0562
5.9847 -4.1744 3.0242
4.1913 1.3852 2.4014
3.4522 -1.3852 7.2041

No. 6
Nd2Sm2YTm, relaxed, DFT PBE; formation energy from the elements = 0.06 eV per atom; E = -59.14 eV/cell
1.0
7.0868 0.0000 0.0000
0.0000 5.6918 0.0000
0.0000 0.0000 9.8835
Nd Sm Y Tm
4 4 2 2
Cartesian
0.0000 0.0000 0.0000
1.7717 2.8459 1.7373
3.5434 0.0000 0.0000
5.3151 2.8459 8.1462
1.7717 0.0000 3.2718
1.7717 2.8459 8.2781
5.3151 0.0000 6.6117
5.3151 2.8459 1.6054
0.0000 2.8459 4.9417
3.5434 2.8459 4.9417
1.7717 0.0000 6.5221
5.3151 0.0000 3.3614

What is the formula in the first record?
NdSm2Y5Tm

Which of these has the highest formation energy from the elements?
NdSm2Y5Tm

The highest formation energy from the elements belongs to which entry?
NdSm2Y5Tm

Look up the formation energy from the elements of the third one.
0.12 eV per atom